Ba2Cu: relaxed, PBEsol.

Computed properties:
* N(E_F): 1.081 states/eV/atom
* E_form: 0.11 eV per atom

Lattice parameters (Å, degrees): 7.8673 7.8673 7.8673 90.00 90.00 90.00
Closest atoms and distances in Å follow each position.
Space group Pa-3 (No. 205)
Asymmetric unit:
Ba (0.1705, 0.1705, 0.1705) [8 per cell]  3 Cu 3.21
Cu (0.0000, 0.0000, 0.5000) [4 per cell]  6 Ba 3.21

***

ZrBeAg: relaxed, PBEsol.

Computed properties:
* N(E_F): 1.087 states/eV/atom
* polymorph energy (0 for the lowest one): 0.0 meV per atom
* E_form: 0.24 eV per atom

Lattice parameters (Å, degrees): 5.8787 5.8787 5.8787 90.00 90.00 90.00
Closest atoms and distances in Å follow each position.
Space group F-43m (No. 216)
Asymmetric unit:
Zr (0.0000, 0.0000, 0.0000) [4 per cell]  4 Be 2.55
Be (0.2500, 0.2500, 0.2500) [4 per cell]  4 Zr 2.55, 4 Ag 2.55
Ag (0.0000, 0.0000, 0.5000) [4 per cell]  4 Be 2.55

***

CaTe2Mo: relaxed, PBEsol.

Computed properties:
* N(E_F): 0.382 states/eV/atom
* ΔE_f (raw): -0.4183 eV per atom
* polymorph energy (0 for the lowest one): 0.0 meV per atom

Lattice parameters (Å, degrees): 4.2102 4.2102 19.7200 90.00 90.00 120.00
Closest atoms and distances in Å follow each position.
Space group R-3m (No. 166, hexagonal axes)
Asymmetric unit:
Ca (0.0000, 0.0000, 0.0000) [3 per cell]  6 Te 3.09
Te (0.0000, 0.0000, 0.2369) [6 per cell]  3 Mo 2.80, 3 Ca 3.09
Mo (0.0000, 0.0000, 0.5000) [3 per cell]  6 Te 2.80

***

TcTeI2F: relaxed, PBEsol.

Computed properties:
* N(E_F): 1.389 states/eV/atom
* ΔE_f (raw): 0.2519 eV per atom

Lattice parameters (Å, degrees): 5.3376 5.3376 5.0198 90.00 90.00 90.00
Closest atoms and distances in Å follow each position.
Space group P4/mmm (No. 123)
Asymmetric unit:
Tc (0.0000, 0.0000, 0.0000) [1 per cell]  2 Te 2.51, 4 I 2.67
Te (0.0000, 0.0000, 0.5000) [1 per cell]  2 Tc 2.51
I (0.0000, 0.5000, 0.0000) [2 per cell]  2 Tc 2.67
F (0.5000, 0.5000, 0.5000) [1 per cell]  8 I 3.66, 4 Te 3.77

***

AgOsRu3: relaxed, PBEsol.

Computed properties:
* N(E_F): 1.938 states/eV/atom
* E_form: 3.11 eV per atom

Lattice parameters (Å, degrees): 4.5300 4.5300 4.5300 90.00 90.00 90.00
Closest atoms and distances in Å follow each position.
Space group Pm-3m (No. 221)
Asymmetric unit:
Ag (0.0000, 0.0000, 0.0000) [1 per cell]  6 Ru 2.27
Os (0.5000, 0.5000, 0.5000) [1 per cell]  12 Ru 3.20
Ru (0.0000, 0.0000, 0.5000) [3 per cell]  2 Ag 2.27

***

MnFe2Co: relaxed, PBEsol.

Computed properties:
* N(E_F): 1.316 states/eV/atom
* E_form: 0.12 eV per atom

Lattice parameters (Å, degrees): 2.4054 3.9408 4.5994 90.00 99.59 90.00
Closest atoms and distances in Å follow each position.
Space group Pm (No. 6)
Asymmetric unit:
Mn (0.0000, 0.0000, 0.0000) [1 per cell]  4 Fe 2.40-2.41, 2 Mn 2.41, 2 Co 2.42
Fe (0.2502, 0.5000, 0.7529) [1 per cell]  2 Mn 2.40, 2 Co 2.40-2.42, 4 Fe 2.40-2.41
Fe (0.4931, 0.0000, 0.5018) [1 per cell]  4 Fe 2.40-2.41, 2 Co 2.41, 2 Mn 2.41
Co (0.7442, 0.5000, 0.2516) [1 per cell]  4 Fe 2.40-2.42, 2 Co 2.41, 2 Mn 2.42

***

LaAs2C: relaxed, PBEsol.

Computed properties:
* N(E_F): 0.642 states/eV/atom
* E_form: 0.09 eV per atom

Lattice parameters (Å, degrees): 6.6838 6.6838 6.9102 90.00 90.00 90.00
Closest atoms and distances in Å follow each position.
Space group I-42d (No. 122)
Asymmetric unit:
La (0.0000, 0.0000, 0.0000) [4 per cell]  8 As 3.09-3.21, 2 C 3.46
As (0.1341, 0.7500, 0.6250) [8 per cell]  2 C 2.08
C (0.0000, 0.0000, 0.5000) [4 per cell]  4 As 2.08

***

K2TeMo: relaxed, PBEsol.

Computed properties:
* N(E_F): 0.863 states/eV/atom
* ΔE_f (raw): 0.8792 eV per atom

Lattice parameters (Å, degrees): 3.1953 3.1953 35.2832 90.00 90.00 120.00
Closest atoms and distances in Å follow each position.
Space group R-3m (No. 166, hexagonal axes)
Asymmetric unit:
K (0.0000, 0.0000, 0.2502) [6 per cell]  6 K 3.20, 3 Te 3.47, 3 Mo 3.48
Te (0.0000, 0.0000, 0.0000) [3 per cell]  6 Te 3.20, 6 K 3.47
Mo (0.0000, 0.0000, 0.5000) [3 per cell]  6 Mo 3.20, 6 K 3.48

***

TaTiSe2: relaxed, PBEsol.

Computed properties:
* N(E_F): 1.090 states/eV/atom
* ΔE_f (raw): -0.6038 eV per atom

Lattice parameters (Å, degrees): 6.3425 6.3425 6.3425 90.00 90.00 90.00
Closest atoms and distances in Å follow each position.
Space group Fm-3m (No. 225)
Asymmetric unit:
Ta (0.0000, 0.0000, 0.0000) [4 per cell]  8 Se 2.75
Ti (0.0000, 0.0000, 0.5000) [4 per cell]  8 Se 2.75
Se (0.2500, 0.2500, 0.2500) [8 per cell]  4 Ta 2.75, 4 Ti 2.75

***

CoAgBr2: relaxed, PBEsol.

Computed properties:
* N(E_F): 1.164 states/eV/atom
* ΔE_f (raw): 0.0303 eV per atom
* polymorph energy (0 for the lowest one): 0.0 meV per atom

Lattice parameters (Å, degrees): 3.4808 3.7302 13.5541 90.00 90.00 90.00
Closest atoms and distances in Å follow each position.
Space group Amm2 (No. 38)
Asymmetric unit:
Co (0.0000, 0.0000, 0.0000) [2 per cell]  3 Br 2.33-2.35
Ag (0.5000, 0.0000, 0.5694) [2 per cell]  4 Co 2.72, 4 Br 2.91
Br (0.0000, 0.0000, 0.1723) [2 per cell]  1 Co 2.33
Br (0.5000, 0.0000, 0.8834) [2 per cell]  2 Co 2.35

***

KPr3Te8: relaxed, PBEsol.

Computed properties:
* ΔE_f (raw): -1.1556 eV per atom

Lattice parameters (Å, degrees): 14.1020 12.8064 8.8968 90.00 99.01 90.00
Closest atoms and distances in Å follow each position.
Space group P2_1/c (No. 14)
Asymmetric unit:
K (0.0360, 0.0917, 0.2585) [4 per cell]  8 Te 3.56-3.74
Pr (0.3463, 0.7494, 0.0871) [4 per cell]  9 Te 3.21-3.38
Pr (0.3488, 0.0846, 0.0809) [4 per cell]  8 Te 3.20-3.29
Pr (0.3509, 0.0838, 0.5946) [4 per cell]  8 Te 3.21-3.31
Te (0.1646, 0.7315, 0.7916) [4 per cell]  2 Te 2.88-2.89
Te (0.1691, 0.5807, 0.5521) [4 per cell]  2 Te 2.88-3.22
Te (0.1697, 0.5799, 0.0329) [4 per cell]  2 Te 2.89-3.21
Te (0.1713, 0.0944, 0.7926) [4 per cell]  4 Te 2.98-3.22, 2 Pr 3.29-3.31
Te (0.1731, 0.2492, 0.5429) [4 per cell]  2 Te 2.98-2.99, 2 Pr 3.24-3.26
Te (0.4135, 0.5802, 0.8516) [4 per cell]  5 Pr 3.22-3.28
Te (0.4162, 0.5851, 0.3563) [4 per cell]  5 Pr 3.20-3.27
Te (0.4185, 0.2458, 0.3549) [4 per cell]  5 Pr 3.22-3.28

***

In2NiW: relaxed, PBEsol.

Computed properties:
* N(E_F): 0.570 states/eV/atom
* polymorph energy (0 for the lowest one): 16.4 meV per atom
* E_form: 0.36 eV per atom

Lattice parameters (Å, degrees): 2.8865 4.6699 10.1496 90.00 90.00 90.00
Closest atoms and distances in Å follow each position.
Space group Imm2 (No. 44)
Asymmetric unit:
In (0.0000, 0.0000, 0.0000) [2 per cell]  2 Ni 2.79, 4 W 2.82, 2 In 2.89
In (0.0000, 0.5000, 0.2091) [2 per cell]  4 Ni 2.76, 2 In 2.89
Ni (0.0000, 0.5000, 0.7356) [2 per cell]  2 W 2.50, 6 In 2.76-2.79
W (0.0000, 0.0000, 0.4367) [2 per cell]  2 Ni 2.50

***

K2TlRuCl: relaxed, PBEsol.

Computed properties:
* N(E_F): 1.898 states/eV/atom
* ΔE_f (raw): 0.5466 eV per atom

Lattice parameters (Å, degrees): 5.5409 5.5409 5.8927 90.00 90.00 90.00
Closest atoms and distances in Å follow each position.
Space group P4/mmm (No. 123)
Asymmetric unit:
K (0.0000, 0.5000, 0.0000) [2 per cell]  2 Cl 2.77
Tl (0.0000, 0.0000, 0.5000) [1 per cell]  2 Cl 2.95
Ru (0.5000, 0.5000, 0.5000) [1 per cell]  4 Tl 3.92, 8 K 4.04
Cl (0.0000, 0.0000, 0.0000) [1 per cell]  4 K 2.77, 2 Tl 2.95

***

PWSe2: relaxed, PBEsol.

Computed properties:
* N(E_F): 0.428 states/eV/atom
* ΔE_f (raw): 0.0582 eV per atom

Lattice parameters (Å, degrees): 3.2300 3.7249 6.6260 90.00 90.09 90.00
Closest atoms and distances in Å follow each position.
Space group Pm (No. 6)
Asymmetric unit:
P (0.0000, 0.0000, 0.0000) [1 per cell]  4 W 2.47, 4 Se 2.54-2.75
W (0.5001, 0.5000, 0.0034) [1 per cell]  4 P 2.47, 4 Se 2.58-2.72
Se (0.0012, 0.5000, 0.3062) [1 per cell]  2 W 2.58, 2 P 2.75
Se (0.4990, 0.0000, 0.7041) [1 per cell]  2 P 2.54, 2 W 2.72

***

K2ZnH4I4O14: relaxed, PBEsol.

Computed properties:
* N(E_F): 0.000 states/eV/atom
* total DFT energy (no corrections): -4.783 eV per atom

Lattice parameters (Å, degrees): 13.7119 7.5045 8.0386 90.00 125.76 90.00
Closest atoms and distances in Å follow each position.
Space group C2 (No. 5)
Asymmetric unit:
K (0.0000, 0.0000, 0.0000) [2 per cell]  8 O 2.70-2.86
K (0.0000, 0.4748, 0.0000) [2 per cell]  6 O 2.69-2.81
Zn (0.0000, 0.5375, 0.5000) [2 per cell]  4 O 1.96-2.16
H (0.0507, 0.8732, 0.6340) [4 per cell]  1 O 1.02
H (0.0517, 0.2051, 0.4711) [4 per cell]  1 O 1.02
I (0.2243, 0.7221, 0.4842) [4 per cell]  3 O 1.82-1.86
I (0.2426, 0.7310, 0.9927) [4 per cell]  3 O 1.84-1.86
O (0.0000, 0.2765, 0.5000) [2 per cell]  2 H 1.02
O (0.0000, 0.8035, 0.5000) [2 per cell]  2 H 1.02
O (0.1274, 0.5604, 0.8363) [4 per cell]  1 I 1.84
O (0.1322, 0.1147, 0.4173) [4 per cell]  1 H 1.56
O (0.1413, 0.9251, 0.8628) [4 per cell]  1 H 1.55
O (0.1431, 0.5151, 0.4623) [4 per cell]  1 I 1.86
O (0.1618, 0.7367, 0.2106) [4 per cell]  1 I 1.84
O (0.1832, 0.2383, 0.1375) [4 per cell]  1 I 1.84

***

Sr3MgO: relaxed, PBEsol.

Computed properties:
* N(E_F): 0.646 states/eV/atom
* ΔE_f (raw): -1.0848 eV per atom

Lattice parameters (Å, degrees): 5.2463 5.2463 5.2463 90.00 90.00 90.00
Closest atoms and distances in Å follow each position.
Space group Pm-3m (No. 221)
Asymmetric unit:
Sr (0.0000, 0.0000, 0.5000) [3 per cell]  2 O 2.62
Mg (0.5000, 0.5000, 0.5000) [1 per cell]  12 Sr 3.71
O (0.0000, 0.0000, 0.0000) [1 per cell]  6 Sr 2.62

***

SiOsSe2: relaxed, PBEsol.

Computed properties:
* N(E_F): 0.859 states/eV/atom
* ΔE_f (raw): 0.5491 eV per atom

Lattice parameters (Å, degrees): 5.5828 5.5828 11.2044 90.00 90.00 90.00
Closest atoms and distances in Å follow each position.
Space group I-42d (No. 122)
Asymmetric unit:
Si (0.0000, 0.0000, 0.0000) [4 per cell]  4 Se 2.48
Os (0.0000, 0.0000, 0.5000) [4 per cell]  4 Se 2.37
Se (0.2327, 0.2500, 0.6250) [8 per cell]  2 Os 2.37, 2 Si 2.48

***

MnZn2SiMo: relaxed, PBEsol.

Computed properties:
* N(E_F): 0.878 states/eV/atom
* ΔE_f (raw): 1.0831 eV per atom

Lattice parameters (Å, degrees): 4.5126 4.5126 4.2830 90.00 90.00 90.00
Closest atoms and distances in Å follow each position.
Space group P4/mmm (No. 123)
Asymmetric unit:
Mn (0.0000, 0.0000, 0.0000) [1 per cell]  2 Mo 2.14, 4 Zn 2.26
Zn (0.0000, 0.5000, 0.0000) [2 per cell]  2 Mn 2.26
Si (0.5000, 0.5000, 0.5000) [1 per cell]  8 Zn 3.11, 4 Mo 3.19
Mo (0.0000, 0.0000, 0.5000) [1 per cell]  2 Mn 2.14

***

ScNiTe2I: relaxed, PBEsol.

Computed properties:
* N(E_F): 2.511 states/eV/atom
* ΔE_f (raw): 0.3839 eV per atom

Lattice parameters (Å, degrees): 5.4816 5.4816 5.4617 90.00 90.00 90.00
Closest atoms and distances in Å follow each position.
Space group P4/mmm (No. 123)
Asymmetric unit:
Sc (0.0000, 0.0000, 0.0000) [1 per cell]  2 I 2.73, 4 Te 2.74
Ni (0.5000, 0.5000, 0.5000) [1 per cell]  8 Te 3.87, 4 I 3.88
Te (0.0000, 0.5000, 0.0000) [2 per cell]  2 Sc 2.74
I (0.0000, 0.0000, 0.5000) [1 per cell]  2 Sc 2.73

***

BaBrO2: relaxed, PBEsol.

Computed properties:
* N(E_F): 0.948 states/eV/atom
* ΔE_f (raw): -1.3174 eV per atom

Lattice parameters (Å, degrees): 4.2294 4.2294 18.3574 90.00 90.00 120.00
Closest atoms and distances in Å follow each position.
Space group R-3m (No. 166, hexagonal axes)
Asymmetric unit:
Ba (0.0000, 0.0000, 0.0000) [3 per cell]  6 O 2.68
Br (0.0000, 0.0000, 0.5000) [3 per cell]  2 O 1.96
O (0.0000, 0.0000, 0.3932) [6 per cell]  1 Br 1.96